Record 1
Computed, not measured: TbGaNi2Ge2 after structural relaxation at the PBE level of DFT.

Unit cell a=4.3655 b=4.3655 c=5.5619 alpha=90.00 beta=90.00 gamma=90.00
Last column: nearest neighbours and their distance in Å.
Sites, in units of the cell vectors:
Tb 0.0000 0.0000 0.0000  2 Ga 2.78
Ga 0.0000 0.0000 0.5000  4 Ni 2.18
Ni 0.0000 0.5000 0.5000  2 Ga 2.18
Ni 0.5000 0.0000 0.5000  2 Ga 2.18
Ge 0.5000 0.5000 0.2359  2 Ge 2.62-2.94, 4 Ni 2.63
Ge 0.5000 0.5000 0.7641  2 Ge 2.62-2.94, 4 Ni 2.63

Calculated values
The value obtained for the formation energy is -0.2026 eV/atom. The space-group type is P4/mmm (123). The electronic total energy comes out at -4.94 eV per atom.

Record 2
Computed, not measured: TbGa2Ni2Ge after structural relaxation at the PBE level of DFT.

Unit cell a=4.3823 b=4.3823 c=5.5065 alpha=90.00 beta=90.00 gamma=90.00
Last column: nearest neighbours and their distance in Å.
Sites, in units of the cell vectors:
Tb 0.0000 0.0000 0.0000  2 Ge 2.75
Ga 0.5000 0.5000 0.2373  2 Ga 2.61-2.89, 4 Ni 2.63
Ga 0.5000 0.5000 0.7627  2 Ga 2.61-2.89, 4 Ni 2.63
Ni 0.0000 0.5000 0.5000  2 Ge 2.19
Ni 0.5000 0.0000 0.5000  2 Ge 2.19
Ge 0.0000 0.0000 0.5000  4 Ni 2.19

Calculated values
The value obtained for the formation energy is -0.3084 eV/atom. The space-group type is P4/mmm (123). The electronic total energy comes out at -4.79 eV per atom.

Record 3
Computed, not measured: Tb3Ga2Ni9Ge after structural relaxation at the PBE level of DFT.

Unit cell a=6.0272 b=6.0272 c=8.3137 alpha=90.00 beta=90.00 gamma=120.00
Last column: nearest neighbours and their distance in Å.
Sites, in units of the cell vectors:
Tb 0.0000 0.0000 0.0000  12 Ni 2.71-3.01
Tb 0.3333 0.6667 0.7008  9 Ni 3.04
Tb 0.6667 0.3333 0.2992  9 Ni 3.04
Ga 0.3333 0.6667 0.1896  6 Ni 2.22-2.35
Ga 0.6667 0.3333 0.8104  6 Ni 2.22-2.35
Ni 0.0000 0.5000 0.0000  2 Ga 2.35
Ni 0.1333 0.2665 0.2793  1 Ga 2.22, 1 Ge 2.30, 2 Ni 2.41
Ni 0.1333 0.8667 0.2793  1 Ga 2.22, 1 Ge 2.30, 2 Ni 2.41
Ni 0.2665 0.1333 0.7207  1 Ga 2.22, 1 Ge 2.30, 2 Ni 2.41
Ni 0.5000 0.0000 0.0000  2 Ga 2.35
Ni 0.5000 0.5000 0.0000  2 Ga 2.35
Ni 0.7335 0.8667 0.2793  1 Ga 2.22, 1 Ge 2.30, 2 Ni 2.41
Ni 0.8667 0.1333 0.7207  1 Ga 2.22, 1 Ge 2.30, 2 Ni 2.41
Ni 0.8667 0.7335 0.7207  1 Ga 2.22, 1 Ge 2.30, 2 Ni 2.41
Ge 0.0000 0.0000 0.5000  6 Ni 2.30

Calculated values
The value obtained for the formation energy is -0.1547 eV/atom. The space-group type is P-3m1 (164). The electronic total energy comes out at -5.26 eV per atom.

Record 4
Computed, not measured: GaNiGe2Te after structural relaxation at the PBE level of DFT.

Unit cell a=5.5658 b=5.5658 c=4.5745 alpha=90.00 beta=90.00 gamma=90.00
Last column: nearest neighbours and their distance in Å.
Sites, in units of the cell vectors:
Ga 0.0000 0.0000 0.0000  8 Ge 3.60, 4 Ni 3.94
Ni 0.5000 0.5000 0.0000  2 Te 2.29
Ge 0.0000 0.5000 0.5000  2 Te 2.78
Ge 0.5000 0.0000 0.5000  2 Te 2.78
Te 0.5000 0.5000 0.5000  2 Ni 2.29

Calculated values
For the formation energy (no corrections), the calculation gives 80.45 kJ per mole of atoms. The space-group type is P4/mmm (123). The electronic total energy comes out at -3.40 eV per atom.

Record 5
Computed, not measured: Th2GaNi4Ge3 after structural relaxation at the PBE level of DFT.

Unit cell a=4.1747 b=4.1747 c=9.7115 alpha=90.00 beta=90.00 gamma=90.00
Last column: nearest neighbours and their distance in Å.
Sites, in units of the cell vectors:
Th 0.0000 0.5000 0.2422  8 Ni 3.14-3.21, 6 Ge 3.15-3.26, 2 Ga 3.26
Th 0.5000 0.0000 0.7578  8 Ni 3.14-3.21, 6 Ge 3.15-3.26, 2 Ga 3.26
Ga 0.0000 0.0000 0.5000  4 Ni 2.43
Ni 0.0000 0.0000 0.0000  4 Ge 2.43
Ni 0.0000 0.5000 0.6275  3 Ge 2.38-2.43, 2 Ga 2.43
Ni 0.5000 0.0000 0.3725  3 Ge 2.38-2.43, 2 Ga 2.43
Ni 0.5000 0.5000 0.0000  4 Ge 2.43
Ge 0.0000 0.5000 0.8721  5 Ni 2.38-2.43
Ge 0.5000 0.0000 0.1279  5 Ni 2.38-2.43
Ge 0.5000 0.5000 0.5000  4 Ni 2.43

Calculated values
The value obtained for the formation energy is -0.7199 eV/atom. The space-group type is P-4m2 (115). The electronic total energy comes out at -6.20 eV per atom.

Record 6
Computed, not measured: Th2Ga3Ni4Ge after structural relaxation at the PBE level of DFT.

Unit cell a=4.2202 b=4.2202 c=9.6031 alpha=90.00 beta=90.00 gamma=90.00
Last column: nearest neighbours and their distance in Å.
Sites, in units of the cell vectors:
Th 0.0000 0.5000 0.2424  8 Ni 3.14-3.24, 6 Ga 3.19-3.25, 2 Ge 3.25
Th 0.5000 0.0000 0.7576  8 Ni 3.14-3.24, 6 Ga 3.19-3.25, 2 Ge 3.25
Ga 0.0000 0.5000 0.8745  5 Ni 2.39-2.43
Ga 0.5000 0.0000 0.1255  5 Ni 2.39-2.43
Ga 0.5000 0.5000 0.5000  4 Ni 2.43
Ni 0.0000 0.0000 0.0000  4 Ga 2.43
Ni 0.0000 0.5000 0.6256  3 Ga 2.39-2.43, 2 Ge 2.43
Ni 0.5000 0.0000 0.3744  3 Ga 2.39-2.43, 2 Ge 2.43
Ni 0.5000 0.5000 0.0000  4 Ga 2.43
Ge 0.0000 0.0000 0.5000  4 Ni 2.43

Calculated values
The value obtained for the formation energy is -0.6083 eV/atom. The space-group type is P-4m2 (115). The electronic total energy comes out at -5.77 eV per atom.

Record 7
Computed, not measured: Th2GaNi6Ge after structural relaxation at the PBE level of DFT.

Unit cell a=5.5379 b=6.0218 c=6.3349 alpha=62.85 beta=68.04 gamma=66.00
Last column: nearest neighbours and their distance in Å.
Sites, in units of the cell vectors:
Th 0.1486 0.3155 0.2676  6 Ni 2.73-2.90
Th 0.8514 0.6845 0.7324  6 Ni 2.73-2.90
Ga 0.5000 0.5000 0.5000  6 Ni 2.34-2.39
Ni 0.3062 0.6974 0.7956  1 Ga 2.36, 3 Ni 2.41-2.60, 1 Ge 2.42
Ni 0.3714 0.1179 0.6626  1 Ga 2.34, 1 Ge 2.41, 2 Ni 2.41-2.51
Ni 0.4256 0.7878 0.1034  1 Ge 2.36, 1 Ga 2.39, 5 Ni 2.51-2.63
Ni 0.5744 0.2122 0.8966  1 Ge 2.36, 1 Ga 2.39, 5 Ni 2.51-2.63
Ni 0.6286 0.8821 0.3374  1 Ga 2.34, 1 Ge 2.41, 2 Ni 2.41-2.51
Ni 0.6938 0.3026 0.2044  1 Ga 2.36, 3 Ni 2.41-2.60, 1 Ge 2.42
Ge 0.0000 0.0000 0.0000  6 Ni 2.36-2.42

Calculated values
The value obtained for the formation energy is -0.3682 eV/atom. The space-group type is P-1 (2). The electronic total energy comes out at -6.09 eV per atom.

Record 8
Computed, not measured: ThGa2Ni4Ge after structural relaxation at the PBE level of DFT.

Unit cell a=8.7458 b=8.7458 c=8.7458 alpha=27.08 beta=27.08 gamma=27.08
Last column: nearest neighbours and their distance in Å.
Sites, in units of the cell vectors:
Th 0.0000 0.0000 0.0000  6 Ni 2.99, 6 Ga 3.27
Ga 0.2438 0.2438 0.2438  6 Ni 2.40-2.64
Ga 0.7562 0.7562 0.7562  6 Ni 2.40-2.64
Ni 0.1362 0.1362 0.1362  3 Ge 2.49, 4 Ga 2.64-2.72
Ni 0.4058 0.4058 0.4058  1 Ge 2.38, 3 Ga 2.40
Ni 0.5942 0.5942 0.5942  1 Ge 2.38, 3 Ga 2.40
Ni 0.8638 0.8638 0.8638  3 Ge 2.49, 4 Ga 2.64-2.72
Ge 0.5000 0.5000 0.5000  8 Ni 2.38-2.49

Calculated values
The value obtained for the formation energy is -0.4272 eV/atom. The space-group type is R-3m (166). The electronic total energy comes out at -5.58 eV per atom.

Record 9
Computed, not measured: Tm2Ga3Ni4Ge after structural relaxation at the PBE level of DFT.

Unit cell a=4.0330 b=4.0330 c=9.8568 alpha=90.00 beta=90.00 gamma=90.00
Last column: nearest neighbours and their distance in Å.
Sites, in units of the cell vectors:
Tm 0.0000 0.5000 0.2495  8 Ni 3.07-3.19, 6 Ga 3.09-3.18, 2 Ge 3.18
Tm 0.5000 0.0000 0.7505  8 Ni 3.07-3.19, 6 Ga 3.09-3.18, 2 Ge 3.18
Ga 0.0000 0.0000 0.0000  4 Ni 2.41
Ga 0.0000 0.5000 0.6291  5 Ni 2.34-2.38
Ga 0.5000 0.0000 0.3709  5 Ni 2.34-2.38
Ni 0.0000 0.0000 0.5000  4 Ga 2.38
Ni 0.0000 0.5000 0.8669  3 Ga 2.34-2.41, 2 Ge 2.41
Ni 0.5000 0.0000 0.1331  3 Ga 2.34-2.41, 2 Ge 2.41
Ni 0.5000 0.5000 0.5000  4 Ga 2.38
Ge 0.5000 0.5000 0.0000  4 Ni 2.41

Calculated values
The value obtained for the formation energy is -0.5793 eV/atom. The space-group type is P-4m2 (115). The electronic total energy comes out at -5.16 eV per atom.

Record 10
Computed, not measured: TmGaNi4Ge2 after structural relaxation at the PBE level of DFT.

Unit cell a=8.6040 b=8.6040 c=8.6040 alpha=27.07 beta=27.07 gamma=27.07
Last column: nearest neighbours and their distance in Å.
Sites, in units of the cell vectors:
Tm 0.0000 0.0000 0.0000  6 Ni 2.95, 6 Ge 3.08
Ga 0.5000 0.5000 0.5000  8 Ni 2.33-2.47
Ni 0.1328 0.1328 0.1328  3 Ga 2.47, 3 Ge 2.66, 3 Ni 2.76
Ni 0.4061 0.4061 0.4061  1 Ga 2.33, 3 Ge 2.33
Ni 0.5939 0.5939 0.5939  1 Ga 2.33, 3 Ge 2.33
Ni 0.8672 0.8672 0.8672  3 Ga 2.47, 3 Ge 2.66, 3 Ni 2.76
Ge 0.2523 0.2523 0.2523  3 Ni 2.33
Ge 0.7477 0.7477 0.7477  3 Ni 2.33

Calculated values
The value obtained for the formation energy is -0.4369 eV/atom. The space-group type is R-3m (166). The electronic total energy comes out at -5.42 eV per atom.

Number 1: spin magnetization 0.00 μB per formula unit. Number 2: spin magnetization 0.00 μB per formula unit. Number 3: spin magnetization 0.00 μB per formula unit. Number 4: spin magnetization 0.00 μB per formula unit. Number 5: spin magnetization 0.00 μB per formula unit. Number 6: spin magnetization 0.00 μB per formula unit. Number 7: spin magnetization 0.00 μB per formula unit. Number 8: spin magnetization 0.00 μB per formula unit. Number 9: spin magnetization 0.00 μB per formula unit. Number 10: spin magnetization 0.00 μB per formula unit.